# 1
# Er2RuSe | Alexandria via LeMat-Bulk | PBE | relaxed
data_Er2RuSe
_cell_length_a 7.866
_cell_length_b 7.866
_cell_length_c 7.866
_cell_angle_alpha 27.29
_cell_angle_beta 27.29
_cell_angle_gamma 27.29
_space_group_name_H-M_alt 'P 1'
_space_group_IT_number 1
loop_
_space_group_symop_operation_xyz
'x,y,z'
loop_
_atom_site_label
_atom_site_fract_x
_atom_site_fract_y
_atom_site_fract_z
Er1 0.247 0.247 0.247
Er2 0.753 0.753 0.753
Ru1 0.500 0.500 0.500
Se1 0.000 0.000 0.000
# * energy above the lowest structure with this stoichiometry: 91 meV/atom
# * DFT total energy: -6.36 eV/atom
# * SG: No. 166
# * uncorrected formation energy: -0.885 eV per atom

---

# 2
# PmHfSc2 | Alexandria via LeMat-Bulk | PBE | relaxed
data_PmHfSc2
_cell_length_a 3.792
_cell_length_b 3.792
_cell_length_c 7.282
_cell_angle_alpha 90.00
_cell_angle_beta 90.00
_cell_angle_gamma 90.00
_space_group_name_H-M_alt 'P 1'
_space_group_IT_number 1
loop_
_space_group_symop_operation_xyz
'x,y,z'
loop_
_atom_site_label
_atom_site_fract_x
_atom_site_fract_y
_atom_site_fract_z
Pm1 0.000 0.000 0.000
Hf1 0.000 0.000 0.500
Sc1 0.500 0.500 0.285
Sc2 0.500 0.500 0.715
# * ΔE_f: 0.1451 eV per atom
# * energy above the lowest structure with this stoichiometry: 58 meV/atom
# * DFT total energy: -6.70 eV/atom
# * SG: No. 123

---

# 3
# SrCaLa2 | Alexandria via LeMat-Bulk | PBE | relaxed
data_SrCaLa2
_cell_length_a 3.721
_cell_length_b 3.721
_cell_length_c 12.905
_cell_angle_alpha 90.00
_cell_angle_beta 90.00
_cell_angle_gamma 111.83
_space_group_name_H-M_alt 'P 1'
_space_group_IT_number 1
loop_
_space_group_symop_operation_xyz
'x,y,z'
loop_
_atom_site_label
_atom_site_fract_x
_atom_site_fract_y
_atom_site_fract_z
Sr1 0.000 0.000 0.000
Ca1 0.000 0.000 0.500
La1 0.500 0.500 0.257
La2 0.500 0.500 0.743
# * ΔE_f: 0.1350 eV per atom
# * energy above the lowest structure with this stoichiometry: 91 meV/atom
# * DFT total energy: -3.25 eV/atom
# * SG: No. 65

---

# 4
# SrCd2Ni2 | Alexandria via LeMat-Bulk | PBE | relaxed
data_SrCd2Ni2
_cell_length_a 6.348
_cell_length_b 6.348
_cell_length_c 6.348
_cell_angle_alpha 139.88
_cell_angle_beta 139.88
_cell_angle_gamma 58.03
_space_group_name_H-M_alt 'P 1'
_space_group_IT_number 1
loop_
_space_group_symop_operation_xyz
'x,y,z'
loop_
_atom_site_label
_atom_site_fract_x
_atom_site_fract_y
_atom_site_fract_z
Sr1 0.000 0.000 0.000
Cd1 0.250 0.750 0.500
Cd2 0.750 0.250 0.500
Ni1 0.396 0.396 0.000
Ni2 0.604 0.604 0.000
# * ΔE_f: -0.0802 eV per atom
# * energy above the lowest structure with this stoichiometry: 0 meV/atom
# * DFT total energy: -3.10 eV/atom
# * SG: No. 139